one) VASP calculation (GGA-PBE) on a relaxed LaTlCd3 crystal.

## Properties
Its total moment is 1.28 Bohr magnetons per cell.

Cell lengths 6.1462, 6.1462, 6.1462 Å; angles 90.00, 90.00, 90.00 degrees
With the nearest neighbours (Å) after each atom.
Space group Pm-3m (No. 221)
Inequivalent atoms, fractional coordinates:
La  0.0000  0.0000  0.0000 [1 per cell]  6 Cd 3.07
Tl  0.5000  0.5000  0.5000 [1 per cell]  12 Cd 4.35
Cd  0.0000  0.0000  0.5000 [3 per cell]  2 La 3.07

=====

two) VASP calculation (GGA-PBE) on a relaxed LaTlCd3 crystal.

## Properties
Its total moment is 0.00 Bohr magnetons per cell.

Cell lengths 5.4585, 5.4585, 5.4585 Å; angles 90.00, 90.00, 90.00 degrees
With the nearest neighbours (Å) after each atom.
Space group Pm-3m (No. 221)
Inequivalent atoms, fractional coordinates:
La  0.0000  0.0000  0.0000 [1 per cell]  12 Cd 3.86
Tl  0.5000  0.5000  0.5000 [1 per cell]  6 Cd 2.73
Cd  0.0000  0.5000  0.5000 [3 per cell]  2 Tl 2.73

=====

two) has the most favorable energy; the next structure is 342 meV/atom above.

=====

one) VASP calculation (GGA-PBE) on a relaxed La8Tl2Cd crystal.

## Properties
Its total moment is 0.00 Bohr magnetons per cell.

Cell lengths 5.2724, 9.1393, 15.3642 Å; angles 90.00, 90.00, 90.00 degrees
With the nearest neighbours (Å) after each atom.
Space group Immm (No. 71)
Inequivalent atoms, fractional coordinates:
La  0.0000  0.0000  0.1423 [4 per cell]  2 Cd 3.42, 2 Tl 3.59, 8 La 3.66-3.75
La  0.0000  0.2232  0.3461 [8 per cell]  3 Tl 3.39-3.41, 1 Cd 3.46, 5 La 3.58-3.74
La  0.0000  0.3330  0.0000 [4 per cell]  1 La 3.05
Tl  0.0000  0.5000  0.1993 [4 per cell]  10 La 3.39-3.59
Cd  0.0000  0.5000  0.5000 [2 per cell]  8 La 3.42-3.46

=====

two) VASP calculation (GGA-PBE) on a relaxed La8Tl2Cd crystal.

## Properties
Its total moment is 0.63 Bohr magnetons per cell.

Cell lengths 17.8597, 6.8795, 6.5961 Å; angles 90.00, 109.51, 90.00 degrees
With the nearest neighbours (Å) after each atom.
Space group C2/m (No. 12)
Inequivalent atoms, fractional coordinates:
La  0.0763  0.0000  0.4066 [4 per cell]  1 Tl 3.25, 3 La 3.35-3.61
La  0.0979  0.2595  0.9535 [8 per cell]  2 Tl 3.28-3.35, 3 La 3.31-3.61, 1 Cd 3.35
La  0.2049  0.5000  0.6002 [4 per cell]  4 Tl 3.34-3.72, 1 Cd 3.50
Tl  0.2355  0.0000  0.8295 [4 per cell]  7 La 3.25-3.55
Cd  0.0000  0.5000  0.5000 [2 per cell]  6 La 3.35-3.50

=====

one) has the most favorable energy; the next structure is 33 meV/atom above.

=====

one) VASP calculation (GGA-PBE) on a relaxed La2Tl2Cd3 crystal.

## Properties
Its total moment is 0.00 Bohr magnetons per cell.

Cell lengths 4.8440, 23.7189, 3.4450 Å; angles 90.00, 90.00, 90.00 degrees
With the nearest neighbours (Å) after each atom.
Space group Cmmm (No. 65)
Inequivalent atoms, fractional coordinates:
La  0.0000  0.1460  0.0000 [4 per cell]  4 Tl 3.35, 2 La 3.44, 5 Cd 3.46-3.55
Tl  0.0000  0.2888  0.5000 [4 per cell]  2 Tl 3.04, 4 La 3.35
Cd  0.0000  0.0000  0.0000 [2 per cell]  10 Cd 3.34-3.44, 2 La 3.46
Cd  0.0000  0.4357  0.5000 [4 per cell]  5 Cd 3.05-3.34

=====

two) VASP calculation (GGA-PBE) on a relaxed La2Tl2Cd3 crystal.

## Properties
Its total moment is 0.00 Bohr magnetons per cell.

Cell lengths 11.4681, 4.9660, 7.2891 Å; angles 90.00, 109.07, 90.00 degrees
With the nearest neighbours (Å) after each atom.
Space group C2/m (No. 12)
Inequivalent atoms, fractional coordinates:
La  0.1477  0.0000  0.2596 [4 per cell]  4 Tl 3.33-3.51, 5 Cd 3.41-3.65
Tl  0.1575  0.0000  0.7355 [4 per cell]  5 Cd 3.03-3.22, 2 La 3.33
Cd  0.0000  0.5000  0.5000 [2 per cell]  2 Cd 2.91, 4 Tl 3.22
Cd  0.0955  0.5000  0.9221 [4 per cell]  2 Cd 2.78-2.91, 3 Tl 3.03-3.10

=====

two) has the most favorable energy; the next structure is 116 meV/atom above.

=====

one) VASP calculation (GGA-PBE) on a relaxed LaTl3Cd crystal.

## Properties
Its total moment is 0.00 Bohr magnetons per cell.

Cell lengths 5.5301, 5.5301, 5.5301 Å; angles 90.00, 90.00, 90.00 degrees
With the nearest neighbours (Å) after each atom.
Space group Pm-3m (No. 221)
Inequivalent atoms, fractional coordinates:
La  0.0000  0.0000  0.0000 [1 per cell]  12 Tl 3.91
Tl  0.0000  0.5000  0.5000 [3 per cell]  2 Cd 2.77
Cd  0.5000  0.5000  0.5000 [1 per cell]  6 Tl 2.77

=====

two) VASP calculation (GGA-PBE) on a relaxed LaTl3Cd crystal.

## Properties
Its total moment is 0.00 Bohr magnetons per cell.

Cell lengths 6.2412, 6.2412, 6.2412 Å; angles 90.00, 90.00, 90.00 degrees
With the nearest neighbours (Å) after each atom.
Space group Pm-3m (No. 221)
Inequivalent atoms, fractional coordinates:
La  0.0000  0.0000  0.0000 [1 per cell]  6 Tl 3.12
Tl  0.0000  0.0000  0.5000 [3 per cell]  2 La 3.12
Cd  0.5000  0.5000  0.5000 [1 per cell]  12 Tl 4.41

=====

one) has the most favorable energy; the next structure is 389 meV/atom above.

=====

one) VASP calculation (GGA-PBE) on a relaxed LaTm2Cd2 crystal.

## Properties
Its total moment is 0.00 Bohr magnetons per cell.

Cell lengths 5.0098, 5.0098, 24.5312 Å; angles 90.00, 90.00, 90.00 degrees
With the nearest neighbours (Å) after each atom.
Space group I4/mmm (No. 139)
Inequivalent atoms, fractional coordinates:
La  0.0000  0.0000  0.1237 [4 per cell]  8 Tm 3.77-3.98, 8 Cd 3.84-3.93
Tm  0.0000  0.0000  0.4295 [4 per cell]  5 Cd 2.79-3.04
Tm  0.0000  0.5000  0.2500 [4 per cell]  4 Cd 2.98
Cd  0.0000  0.0000  0.3158 [4 per cell]  5 Tm 2.79-2.98
Cd  0.0000  0.5000  0.0000 [4 per cell]  4 Tm 3.04

=====

two) VASP calculation (GGA-PBE) on a relaxed LaTm2Cd2 crystal.

## Properties
Its total moment is 0.00 Bohr magnetons per cell.

Cell lengths 3.7259, 5.4579, 13.9857 Å; angles 90.00, 97.66, 90.00 degrees
With the nearest neighbours (Å) after each atom.
Space group P2_1/m (No. 11)
Inequivalent atoms, fractional coordinates:
La  0.1493  0.2500  0.2969 [2 per cell]  6 Cd 3.31-3.40, 4 Tm 3.65-3.70
Tm  0.0469  0.7500  0.0940 [2 per cell]  8 Cd 3.18-3.30
Tm  0.2361  0.7500  0.4722 [2 per cell]  2 Cd 3.23, 4 Tm 3.39
Cd  0.3587  0.2500  0.7179 [2 per cell]  4 Tm 3.20-3.23, 4 La 3.31
Cd  0.4541  0.7500  0.9080 [2 per cell]  6 Tm 3.18-3.30, 2 La 3.39-3.40

=====

two) has the most favorable energy; the next structure is 181 meV/atom above.

=====

one) VASP calculation (GGA-PBE) on a relaxed La6TmCd crystal.

## Properties
Its total moment is 0.00 Bohr magnetons per cell.

Cell lengths 5.1183, 5.1183, 10.3415 Å; angles 90.00, 90.00, 90.00 degrees
With the nearest neighbours (Å) after each atom.
Space group P4/mmm (No. 123)
Inequivalent atoms, fractional coordinates:
La  0.0000  0.0000  0.0000 [1 per cell]  4 Cd 3.62, 8 La 3.62
La  0.0000  0.0000  0.5000 [1 per cell]  4 Tm 3.62, 8 La 3.65
La  0.0000  0.5000  0.2477 [4 per cell]  8 La 3.62-3.65, 2 Cd 3.62, 2 Tm 3.65
Tm  0.5000  0.5000  0.5000 [1 per cell]  12 La 3.62-3.65
Cd  0.5000  0.5000  0.0000 [1 per cell]  12 La 3.62

=====

two) VASP calculation (GGA-PBE) on a relaxed La6TmCd crystal.

## Properties
Its total moment is 0.00 Bohr magnetons per cell.

Cell lengths 5.0809, 6.3187, 9.6092 Å; angles 76.85, 74.71, 66.40 degrees
With the nearest neighbours (Å) after each atom.
Space group P-1 (No. 2)
Inequivalent atoms, fractional coordinates:
La  0.0054  0.2427  0.2475 [2 per cell]  8 La 3.58-3.71, 2 Tm 3.60-3.61, 2 Cd 3.60-3.61
La  0.2505  0.1296  0.8672 [2 per cell]  8 La 3.58-3.72, 1 Cd 3.58, 3 Tm 3.65-3.68
La  0.2552  0.6084  0.3818 [2 per cell]  8 La 3.47-3.71, 3 Cd 3.54-3.68, 1 Tm 3.68
Tm  0.5000  0.5000  0.0000 [1 per cell]  12 La 3.60-3.68
Cd  0.5000  0.0000  0.5000 [1 per cell]  12 La 3.54-3.68

=====

one) has the most favorable energy; the next structure is 7 meV/atom above.